No. 1
The following is a PBE calculation of K3ZrNp2Te6 after structural relaxation, from the Alexandria database. Values from VASP.

```
&SYSTEM
  ibrav = 0, nat = 12, ntyp = 4
/
ATOMIC_SPECIES
K 39.10 K.upf
Zr 91.22 Zr.upf
Np 237.00 Np.upf
Te 127.60 Te.upf
ATOMIC_POSITIONS angstrom
K -5.2532 2.7689 2.7669
K -3.7649 -0.1479 -5.3594
K -4.5090 1.3105 -1.2962
Zr 0.0000 0.0000 0.0000
Np -3.3385 -1.6757 2.3696
Np -2.5886 -3.1453 -1.7247
Te -6.6569 1.4707 -4.0381
Te -5.0953 -2.0625 -0.1929
Te -2.3612 1.1502 1.4456
Te -7.3788 2.8856 -0.0962
Te -3.9227 4.6834 -2.3995
Te -1.6393 -0.2646 -2.4962
CELL_PARAMETERS angstrom
-1.8352 -4.6218 -5.8384
-4.0919 -0.1991 6.4833
-3.0910 7.4419 -3.2373
```

## Properties
Theoretical density ... 5690 kg/m3
Total moment ... 9.01 μB/f.u.
ΔE_f (raw) ... -0.9153 eV/atom
Fermi-level density of states ... 21.236 states/eV/f.u.

***

No. 2
The following is a PBE calculation of Th3Zn2Ir7 after structural relaxation, from the Alexandria database. Values from VASP.

```
&SYSTEM
  ibrav = 0, nat = 12, ntyp = 3
/
ATOMIC_SPECIES
Th 232.04 Th.upf
Zn 65.41 Zn.upf
Ir 192.22 Ir.upf
ATOMIC_POSITIONS angstrom
Th 0.0000 0.0000 0.0000
Th 6.5919 4.0546 6.5963
Th 1.1105 0.6830 5.6711
Zn 5.0720 3.1198 2.2333
Zn 2.6304 1.6179 10.0341
Ir 3.8512 2.3688 6.1337
Ir 5.8545 1.9572 4.4208
Ir 4.3873 4.3426 4.4208
Ir 3.1819 1.9572 3.5843
Ir 1.8478 2.7805 7.8466
Ir 4.5205 2.7805 8.6831
Ir 3.3151 0.3951 7.8466
CELL_PARAMETERS angstrom
5.2561 0.0000 1.6451
2.3706 4.6911 1.6451
0.0757 0.0466 8.9771
```

## Properties
Theoretical density ... 16357 kg/m3
Total moment ... 0.00 μB/f.u.
ΔH_f (0 K) ... -0.691 eV per atom
Fermi-level density of states ... 7.343 states/eV/f.u.

***

Q: Number 1 is which compound?
A: K3ZrNp2Te6

***

Q: Which of these has the highest Fermi-level density of states?
A: K3ZrNp2Te6

***

Q: Among the records above, which one has the highest theoretical density?
A: Th3Zn2Ir7

***

Q: What is the theoretical density in the first record?
A: 5690 kg/m3